20
Lattice="4.815 -10.444 0.000 4.815 10.444 0.000 0.000 0.000 6.372" Properties=species:S:1:pos:R:3 comment="DyY6Er3 | Alexandria | GGA-PBE | optimized geometry" sg="Cmc2_1 (36)" polymorph_energy_mev_per_atom=0 magmom_total_mub_per_atom=0.00 n_ef_per_ev_cell=32.02 pbc="T T T"
Dy 4.815 7.081 3.186
Dy 4.815 -7.081 0.000
Y 4.815 10.126 4.452
Y 3.112 4.569 1.207
Y 3.071 1.245 6.030
Y 4.815 4.163 4.654
Y 3.071 -1.245 2.844
Y 6.517 4.569 1.207
Y 3.112 -4.569 4.393
Y 6.558 1.245 6.030
Y 4.815 -4.163 1.468
Y 6.558 -1.245 2.844
Y 6.517 -4.569 4.393
Y 4.815 -10.126 1.266
Er 1.621 2.647 3.362
Er 1.621 -2.647 0.176
Er 4.815 1.703 2.689
Er 4.815 -1.703 5.875
Er 8.009 2.647 3.362
Er 8.009 -2.647 0.176


12
Lattice="2.818 -18.776 0.000 2.818 18.776 0.000 0.000 0.000 3.565" Properties=species:S:1:pos:R:3 comment="Dy3Y2Er7 | Alexandria | GGA-PBE | optimized geometry" sg="Cmmm (65)" polymorph_energy_mev_per_atom=32 magmom_total_mub_per_atom=0.00 n_ef_per_ev_cell=18.65 pbc="T T T"
Dy 0.000 0.000 0.000
Dy 2.818 11.810 0.000
Dy 2.818 -11.810 0.000
Y 2.818 5.527 1.783
Y 2.818 -5.527 1.783
Er 2.818 15.348 1.783
Er 2.818 8.669 1.783
Er 2.818 2.676 0.000
Er 2.818 0.000 1.783
Er 2.818 -2.676 0.000
Er 2.818 -8.669 1.783
Er 2.818 -15.348 1.783


14
Lattice="5.762 0.000 0.000 0.000 8.568 0.000 0.000 0.000 11.902" Properties=species:S:1:pos:R:3 comment="DyYEr5 | Alexandria | GGA-PBE | optimized geometry" sg="Immm (71)" polymorph_energy_mev_per_atom=952 magmom_total_mub_per_atom=0.00 n_ef_per_ev_cell=14.92 pbc="T T T"
Dy 0.000 0.000 0.000
Dy 2.881 4.284 5.951
Y 0.000 0.000 5.951
Y 2.881 4.284 0.000
Er 0.000 0.000 2.899
Er 0.000 0.000 9.002
Er 0.000 2.762 0.000
Er 0.000 4.284 5.951
Er 0.000 5.806 0.000
Er 2.881 0.000 0.000
Er 2.881 1.522 5.951
Er 2.881 4.284 3.051
Er 2.881 4.284 8.850
Er 2.881 7.046 5.951


11
Lattice="-2.353 2.353 16.647 2.353 -2.353 16.647 2.353 2.353 -16.647" Properties=species:S:1:pos:R:3 comment="Dy2Y6Er3 | Alexandria | GGA-PBE | optimized geometry" sg="I4/mmm (139)" energy_ev_per_cell=-58.35 magmom_total_mub_per_atom=0.00 n_ef_per_ev_cell=18.12 pbc="T T T"
Dy 0.000 0.000 1.508
Dy 0.000 0.000 31.786
Y 2.353 0.000 4.027
Y 0.000 0.000 6.626
Y 2.353 0.000 12.620
Y 0.000 2.353 4.027
Y 0.000 0.000 26.667
Y 0.000 2.353 12.620
Er 0.000 0.000 10.054
Er 0.000 0.000 16.647
Er 0.000 0.000 23.239